(1)
Material: Au5C
Method: DFT, GGA-PBE
State: optimized geometry

a = 5.156 Å, b = 5.156 Å, c = 7.163 Å
α = 103.60°, β = 103.60°, γ = 33.03°
Atoms (fractional coordinates):
Au (0.000, 0.000, 0.000)
Au (0.290, 0.290, 0.197)
Au (0.588, 0.588, 0.364)
Au (0.686, 0.686, 0.796)
Au (0.908, 0.908, 0.557)
C (0.355, 0.355, 0.773)

## Properties
**Mass density**: 16.45 g/cm³
**Total DFT energy (no corrections)**: -0.130 hartree per atom
**Polymorph energy (0 for the lowest one)**: 9.2 kJ/mol of atoms
**Space-group type**: Cm


(2)
Material: Ac4Tb3Y2
Method: DFT, GGA-PBE
State: optimized geometry

a = 6.400 Å, b = 6.400 Å, c = 11.232 Å
α = 104.87°, β = 104.87°, γ = 49.89°
Atoms (fractional coordinates):
Ac (0.006, 0.006, 0.333)
Ac (0.335, 0.335, 0.111)
Ac (0.665, 0.665, 0.889)
Ac (0.994, 0.994, 0.667)
Tb (0.000, 0.000, 0.000)
Tb (0.335, 0.335, 0.449)
Tb (0.665, 0.665, 0.551)
Y (0.327, 0.327, 0.771)
Y (0.673, 0.673, 0.229)

## Properties
**Mass density**: 7.69 g/cm³
**Total DFT energy (no corrections)**: -0.175 hartree per atom
**Space-group type**: C2/m